Model 1:
Here is crystalline CaPm2Sb at its relaxed geometry from Alexandria. Energies are from PBE. Values from VASP.

Its total magnetic moment is 0.000 μB per atom. As for the volume: 29.9 A^3/atom.

```
&SYSTEM
  ibrav = 0, nat = 4, ntyp = 3
/
ATOMIC_SPECIES
Sb 121.76 Sb.upf
Ca 40.08 Ca.upf
Pm 145.00 Pm.upf
CELL_PARAMETERS angstrom
4.988 0.000 0.000
0.000 4.898 0.000
0.000 0.000 4.898
ATOMIC_POSITIONS crystal
Sb 0.500 0.000 0.000
Ca 0.500 0.500 0.500
Pm 0.000 0.000 0.500
Pm 0.000 0.500 0.000
```

Model 2:
Here is crystalline CaPm2Sb at its relaxed geometry from Alexandria. Energies are from PBE. Values from VASP.

Its total magnetic moment is 0.000 μB per atom. As for the volume: 31.3 A^3/atom.

```
&SYSTEM
  ibrav = 0, nat = 4, ntyp = 3
/
ATOMIC_SPECIES
Pm 145.00 Pm.upf
Ca 40.08 Ca.upf
Sb 121.76 Sb.upf
CELL_PARAMETERS angstrom
4.275 0.000 0.000
0.000 4.275 0.000
0.000 0.000 6.857
ATOMIC_POSITIONS crystal
Pm 0.000 0.000 0.269
Ca 0.500 0.500 0.000
Pm 0.000 0.000 0.731
Sb 0.500 0.500 0.500
```

Going by the computed energies, the most stable comes first: model 2, model 1.

Model 1:
Here is crystalline CaPmSb2 at its relaxed geometry from Alexandria. Energies are from PBE. Values from VASP.

Its total magnetic moment is 0.000 μB per atom. As for the volume: 30.3 A^3/atom.

```
&SYSTEM
  ibrav = 0, nat = 16, ntyp = 3
/
ATOMIC_SPECIES
Sb 121.76 Sb.upf
Ca 40.08 Ca.upf
Pm 145.00 Pm.upf
CELL_PARAMETERS angstrom
-5.307 1.918 2.956
1.218 -5.323 3.210
6.735 6.348 7.972
ATOMIC_POSITIONS crystal
Sb 0.802 0.763 0.540
Sb 0.865 0.412 0.211
Ca 0.637 0.610 0.785
Sb 0.302 0.263 0.960
Pm 0.702 0.274 0.472
Pm 0.798 0.226 0.972
Sb 0.198 0.237 0.460
Ca 0.363 0.390 0.215
Ca 0.137 0.110 0.715
Sb 0.135 0.588 0.789
Sb 0.365 0.912 0.289
Pm 0.202 0.774 0.028
Sb 0.635 0.088 0.711
Ca 0.863 0.890 0.285
Sb 0.698 0.737 0.040
Pm 0.298 0.726 0.528
```

Model 2:
Here is crystalline CaPmSb2 at its relaxed geometry from Alexandria. Energies are from PBE. Values from VASP.

Its total magnetic moment is 0.000 μB per atom. As for the volume: 29.3 A^3/atom.

```
&SYSTEM
  ibrav = 0, nat = 4, ntyp = 3
/
ATOMIC_SPECIES
Pm 145.00 Pm.upf
Sb 121.76 Sb.upf
Ca 40.08 Ca.upf
CELL_PARAMETERS angstrom
5.494 0.000 0.000
2.747 4.758 0.000
2.747 1.586 4.486
ATOMIC_POSITIONS crystal
Pm 0.000 0.000 0.000
Sb 0.250 0.250 0.250
Sb 0.750 0.750 0.750
Ca 0.500 0.500 0.500
```

Model 3:
Here is crystalline CaPmSb2 at its relaxed geometry from Alexandria. Energies are from PBE. Values from VASP.

Its total magnetic moment is 0.000 μB per atom. As for the volume: 33.4 A^3/atom.

```
&SYSTEM
  ibrav = 0, nat = 4, ntyp = 3
/
ATOMIC_SPECIES
Sb 121.76 Sb.upf
Pm 145.00 Pm.upf
Ca 40.08 Ca.upf
CELL_PARAMETERS angstrom
4.682 0.000 0.000
2.341 4.055 0.000
2.341 1.352 7.046
ATOMIC_POSITIONS crystal
Sb 0.249 0.249 0.254
Pm 0.495 0.495 0.514
Ca 0.670 0.670 0.990
Sb 0.086 0.086 0.742
```

Going by the computed energies, the most stable comes first: model 1, model 3, model 2.

Model 1:
Here is crystalline CaPmSb2 at its relaxed geometry from Alexandria. Energies are from PBE. Values from VASP.

Its total magnetic moment is 0.000 μB per atom. As for the volume: 29.1 A^3/atom.

```
&SYSTEM
  ibrav = 0, nat = 4, ntyp = 3
/
ATOMIC_SPECIES
Sb 121.76 Sb.upf
Pm 145.00 Pm.upf
Ca 40.08 Ca.upf
CELL_PARAMETERS angstrom
-1.795 3.337 -1.598
1.046 -1.784 -4.900
-4.670 -2.545 -0.070
ATOMIC_POSITIONS crystal
Sb 0.000 0.500 0.000
Pm 0.500 0.500 0.500
Sb 0.000 0.000 0.500
Ca 0.500 0.000 0.000
```

Model 2:
Here is crystalline CaPmSb2 at its relaxed geometry from Alexandria. Energies are from PBE. Values from VASP.

Its total magnetic moment is 0.000 μB per atom. As for the volume: 32.5 A^3/atom.

```
&SYSTEM
  ibrav = 0, nat = 4, ntyp = 3
/
ATOMIC_SPECIES
Sb 121.76 Sb.upf
Ca 40.08 Ca.upf
Pm 145.00 Pm.upf
CELL_PARAMETERS angstrom
-4.122 -0.976 -1.249
-1.342 -4.206 -0.091
-4.177 -1.133 6.861
ATOMIC_POSITIONS crystal
Sb 0.748 0.748 0.755
Sb 0.252 0.252 0.245
Ca 0.500 0.500 0.500
Pm 0.000 0.000 0.000
```

Going by the computed energies, the most stable comes first: model 2, model 1.

Model 1:
Here is crystalline CaPm3Sb4 at its relaxed geometry from Alexandria. Energies are from PBE. Values from VASP.

Its total magnetic moment is 0.000 μB per atom. As for the volume: 32.3 A^3/atom.

```
&SYSTEM
  ibrav = 0, nat = 8, ntyp = 3
/
ATOMIC_SPECIES
Sb 121.76 Sb.upf
Ca 40.08 Ca.upf
Pm 145.00 Pm.upf
CELL_PARAMETERS angstrom
4.485 0.000 0.000
0.000 7.815 -0.062
0.000 -2.522 7.397
ATOMIC_POSITIONS crystal
Sb 0.500 0.251 0.749
Sb 0.000 0.253 0.253
Ca 0.500 0.000 0.000
Pm 0.000 0.500 0.000
Sb 0.000 0.747 0.747
Pm 0.000 0.000 0.500
Sb 0.500 0.749 0.251
Pm 0.500 0.500 0.500
```

Model 2:
Here is crystalline CaPm3Sb4 at its relaxed geometry from Alexandria. Energies are from PBE. Values from VASP.

Its total magnetic moment is 0.000 μB per atom. As for the volume: 32.2 A^3/atom.

```
&SYSTEM
  ibrav = 0, nat = 8, ntyp = 3
/
ATOMIC_SPECIES
Pm 145.00 Pm.upf
Sb 121.76 Sb.upf
Ca 40.08 Ca.upf
CELL_PARAMETERS angstrom
-5.657 -1.816 2.282
-0.608 -4.136 -4.799
2.852 -4.483 3.503
ATOMIC_POSITIONS crystal
Pm 0.500 0.500 0.000
Sb 0.500 0.000 0.000
Pm 0.000 0.500 0.500
Sb 0.000 0.500 0.000
Pm 0.500 0.000 0.500
Sb 0.500 0.500 0.500
Ca 0.000 0.000 0.000
Sb 0.000 0.000 0.500
```

Going by the computed energies, the most stable comes first: model 1, model 2.

Model 1:
Here is crystalline CaPmSc2 at its relaxed geometry from Alexandria. Energies are from PBE. Values from VASP.

Its total magnetic moment is 0.000 μB per atom. As for the volume: 30.2 A^3/atom.

```
&SYSTEM
  ibrav = 0, nat = 4, ntyp = 3
/
ATOMIC_SPECIES
Sc 44.96 Sc.upf
Pm 145.00 Pm.upf
Ca 40.08 Ca.upf
CELL_PARAMETERS angstrom
3.488 0.000 0.000
1.744 3.021 0.000
1.744 1.007 11.458
ATOMIC_POSITIONS crystal
Sc 0.254 0.254 0.238
Pm 0.000 0.000 0.000
Sc 0.746 0.746 0.762
Ca 0.500 0.500 0.500
```

Model 2:
Here is crystalline CaPmSc2 at its relaxed geometry from Alexandria. Energies are from PBE. Values from VASP.

Its total magnetic moment is 0.000 μB per atom. As for the volume: 29.9 A^3/atom.

```
&SYSTEM
  ibrav = 0, nat = 4, ntyp = 3
/
ATOMIC_SPECIES
Sc 44.96 Sc.upf
Pm 145.00 Pm.upf
Ca 40.08 Ca.upf
CELL_PARAMETERS angstrom
-2.227 -4.776 -1.681
2.779 -4.736 0.671
-1.719 -3.712 3.724
ATOMIC_POSITIONS crystal
Sc 0.750 0.750 0.750
Sc 0.250 0.250 0.250
Pm 0.500 0.500 0.500
Ca 0.000 0.000 0.000
```

Model 3:
Here is crystalline CaPmSc2 at its relaxed geometry from Alexandria. Energies are from PBE. Values from VASP.

Its total magnetic moment is 0.073 μB per atom. As for the volume: 30.6 A^3/atom.

```
&SYSTEM
  ibrav = 0, nat = 4, ntyp = 3
/
ATOMIC_SPECIES
Ca 40.08 Ca.upf
Pm 145.00 Pm.upf
Sc 44.96 Sc.upf
CELL_PARAMETERS angstrom
-0.259 0.538 3.474
3.233 -1.331 0.447
3.854 8.991 -1.103
ATOMIC_POSITIONS crystal
Ca 0.500 0.500 0.500
Pm 0.500 0.500 0.000
Sc 0.000 0.000 0.232
Sc 0.000 0.000 0.768
```

Going by the computed energies, the most stable comes first: model 3, model 1, model 2.

Model 1:
Here is crystalline CaPmSc at its relaxed geometry from Alexandria. Energies are from PBE. Values from VASP.

Its total magnetic moment is 0.000 μB per atom. As for the volume: 32.6 A^3/atom.

```
&SYSTEM
  ibrav = 0, nat = 3, ntyp = 3
/
ATOMIC_SPECIES
Ca 40.08 Ca.upf
Sc 44.96 Sc.upf
Pm 145.00 Pm.upf
CELL_PARAMETERS angstrom
-2.733 1.537 1.798
-0.941 -3.227 1.328
6.338 1.957 4.326
ATOMIC_POSITIONS crystal
Ca 0.006 0.006 0.013
Sc 0.675 0.675 0.350
Pm 0.319 0.319 0.637
```

Model 2:
Here is crystalline CaPmSc at its relaxed geometry from Alexandria. Energies are from PBE. Values from VASP.

Its total magnetic moment is 0.078 μB per atom. As for the volume: 32.7 A^3/atom.

```
&SYSTEM
  ibrav = 0, nat = 6, ntyp = 3
/
ATOMIC_SPECIES
Sc 44.96 Sc.upf
Pm 145.00 Pm.upf
Ca 40.08 Ca.upf
CELL_PARAMETERS angstrom
3.622 -0.051 0.321
0.117 3.556 -0.747
-1.474 -4.036 15.973
ATOMIC_POSITIONS crystal
Sc 0.750 0.630 0.940
Pm 0.250 0.087 0.419
Ca 0.750 0.204 0.227
Sc 0.250 0.370 0.060
Ca 0.250 0.796 0.773
Pm 0.750 0.913 0.581
```

Model 3:
Here is crystalline CaPmSc at its relaxed geometry from Alexandria. Energies are from PBE. Values from VASP.

Its total magnetic moment is 0.000 μB per atom. As for the volume: 32.4 A^3/atom.

```
&SYSTEM
  ibrav = 0, nat = 3, ntyp = 3
/
ATOMIC_SPECIES
Sc 44.96 Sc.upf
Ca 40.08 Ca.upf
Pm 145.00 Pm.upf
CELL_PARAMETERS angstrom
3.565 0.000 0.000
-1.783 3.087 0.000
0.000 0.000 8.839
ATOMIC_POSITIONS crystal
Sc 0.667 0.333 0.345
Ca 0.000 0.000 0.012
Pm 0.333 0.667 0.643
```

Going by the computed energies, the most stable comes first: model 2, model 1, model 3.

Model 1:
Here is crystalline CaPm2Si at its relaxed geometry from Alexandria. Energies are from PBE. Values from VASP.

Its total magnetic moment is 0.000 μB per atom. As for the volume: 30.8 A^3/atom.

```
&SYSTEM
  ibrav = 0, nat = 4, ntyp = 3
/
ATOMIC_SPECIES
Pm 145.00 Pm.upf
Ca 40.08 Ca.upf
Si 28.09 Si.upf
CELL_PARAMETERS angstrom
3.826 0.000 0.000
0.000 3.826 0.000
0.000 0.000 8.415
ATOMIC_POSITIONS crystal
Pm 0.000 0.000 0.822
Ca 0.500 0.500 0.500
Si 0.500 0.500 0.000
Pm 0.000 0.000 0.178
```

Model 2:
Here is crystalline CaPm2Si at its relaxed geometry from Alexandria. Energies are from PBE. Values from VASP.

Its total magnetic moment is 0.000 μB per atom. As for the volume: 27.2 A^3/atom.

```
&SYSTEM
  ibrav = 0, nat = 4, ntyp = 3
/
ATOMIC_SPECIES
Pm 145.00 Pm.upf
Si 28.09 Si.upf
Ca 40.08 Ca.upf
CELL_PARAMETERS angstrom
4.628 0.000 0.000
0.000 4.845 0.000
0.000 0.000 4.845
ATOMIC_POSITIONS crystal
Pm 0.000 0.000 0.500
Si 0.500 0.000 0.000
Pm 0.000 0.500 0.000
Ca 0.500 0.500 0.500
```

Going by the computed energies, the most stable comes first: model 1, model 2.

Model 1:
Here is crystalline CaPm2Si at its relaxed geometry from Alexandria. Energies are from PBE. Values from VASP.

Its total magnetic moment is 0.089 μB per atom. As for the volume: 36.1 A^3/atom.

```
&SYSTEM
  ibrav = 0, nat = 4, ntyp = 3
/
ATOMIC_SPECIES
Pm 145.00 Pm.upf
Si 28.09 Si.upf
Ca 40.08 Ca.upf
CELL_PARAMETERS angstrom
4.094 0.000 0.000
2.047 3.546 0.000
2.047 1.182 9.944
ATOMIC_POSITIONS crystal
Pm 0.278 0.278 0.166
Si 0.000 0.000 0.000
Ca 0.500 0.500 0.500
Pm 0.722 0.722 0.834
```

Model 2:
Here is crystalline CaPm2Si at its relaxed geometry from Alexandria. Energies are from PBE. Values from VASP.

Its total magnetic moment is 0.000 μB per atom. As for the volume: 26.8 A^3/atom.

```
&SYSTEM
  ibrav = 0, nat = 4, ntyp = 3
/
ATOMIC_SPECIES
Pm 145.00 Pm.upf
Ca 40.08 Ca.upf
Si 28.09 Si.upf
CELL_PARAMETERS angstrom
-4.073 0.870 -3.330
-1.878 -3.979 -3.013
-4.790 -2.100 1.040
ATOMIC_POSITIONS crystal
Pm 0.750 0.750 0.750
Ca 0.000 0.000 0.000
Si 0.500 0.500 0.500
Pm 0.250 0.250 0.250
```

Going by the computed energies, the most stable comes first: model 1, model 2.

Model 1:
Here is crystalline CaPmSi4 at its relaxed geometry from Alexandria. Energies are from PBE. Values from VASP.

Its total magnetic moment is 0.000 μB per atom. As for the volume: 18.6 A^3/atom.

```
&SYSTEM
  ibrav = 0, nat = 6, ntyp = 3
/
ATOMIC_SPECIES
Ca 40.08 Ca.upf
Si 28.09 Si.upf
Pm 145.00 Pm.upf
CELL_PARAMETERS angstrom
5.405 0.000 0.000
2.703 4.681 0.000
2.703 1.560 4.414
ATOMIC_POSITIONS crystal
Ca 0.000 0.000 0.000
Si 0.625 0.124 0.625
Si 0.124 0.625 0.625
Si 0.625 0.625 0.124
Pm 0.250 0.250 0.250
Si 0.625 0.625 0.625
```

Model 2:
Here is crystalline CaPmSi4 at its relaxed geometry from Alexandria. Energies are from PBE. Values from VASP.

Its total magnetic moment is 0.000 μB per atom. As for the volume: 20.3 A^3/atom.

```
&SYSTEM
  ibrav = 0, nat = 6, ntyp = 3
/
ATOMIC_SPECIES
Si 28.09 Si.upf
Ca 40.08 Ca.upf
Pm 145.00 Pm.upf
CELL_PARAMETERS angstrom
3.970 0.000 -1.226
-0.379 3.952 -1.226
0.185 0.204 7.642
ATOMIC_POSITIONS crystal
Si 0.667 0.167 0.334
Si 0.583 0.583 0.167
Ca 0.000 0.000 0.000
Si 0.833 0.333 0.666
Pm 0.250 0.750 0.500
Si 0.417 0.417 0.833
```

Going by the computed energies, the most stable comes first: model 2, model 1.

Model 1:
Here is crystalline CaPm2Si2 at its relaxed geometry from Alexandria. Energies are from PBE. Values from VASP.

Its total magnetic moment is 0.000 μB per atom. As for the volume: 25.6 A^3/atom.

```
&SYSTEM
  ibrav = 0, nat = 10, ntyp = 3
/
ATOMIC_SPECIES
Si 28.09 Si.upf
Ca 40.08 Ca.upf
Pm 145.00 Pm.upf
CELL_PARAMETERS angstrom
-2.202 -0.500 3.724
-5.666 -3.476 -3.816
3.411 -6.774 1.107
ATOMIC_POSITIONS crystal
Si 0.000 0.388 0.888
Si 0.000 0.888 0.612
Si 0.000 0.612 0.112
Ca 0.000 0.000 0.000
Pm 0.500 0.822 0.322
Pm 0.500 0.322 0.178
Ca 0.000 0.500 0.500
Pm 0.500 0.178 0.678
Si 0.000 0.112 0.388
Pm 0.500 0.678 0.822
```

Model 2:
Here is crystalline CaPm2Si2 at its relaxed geometry from Alexandria. Energies are from PBE. Values from VASP.

Its total magnetic moment is 0.001 μB per atom. As for the volume: 27.9 A^3/atom.

```
&SYSTEM
  ibrav = 0, nat = 10, ntyp = 3
/
ATOMIC_SPECIES
Si 28.09 Si.upf
Ca 40.08 Ca.upf
Pm 145.00 Pm.upf
CELL_PARAMETERS angstrom
4.264 0.000 0.000
0.000 5.714 -0.709
0.000 -2.859 11.812
ATOMIC_POSITIONS crystal
Si 0.250 0.861 0.634
Si 0.250 0.364 0.979
Ca 0.250 0.810 0.218
Pm 0.250 0.784 0.873
Ca 0.750 0.190 0.782
Si 0.750 0.139 0.366
Pm 0.750 0.714 0.458
Pm 0.750 0.216 0.127
Pm 0.250 0.286 0.542
Si 0.750 0.636 0.021
```

Going by the computed energies, the most stable comes first: model 1, model 2.

Model 1:
Here is crystalline CaPmSi3 at its relaxed geometry from Alexandria. Energies are from PBE. Values from VASP.

Its total magnetic moment is 0.000 μB per atom. As for the volume: 21.5 A^3/atom.

```
&SYSTEM
  ibrav = 0, nat = 10, ntyp = 3
/
ATOMIC_SPECIES
Si 28.09 Si.upf
Ca 40.08 Ca.upf
Pm 145.00 Pm.upf
CELL_PARAMETERS angstrom
-1.044 -0.680 -3.759
2.914 -3.193 -0.231
-10.112 -6.583 4.000
ATOMIC_POSITIONS crystal
Si 0.250 0.673 0.346
Ca 0.750 0.203 0.406
Si 0.750 0.618 0.236
Si 0.250 0.382 0.764
Si 0.250 0.476 0.952
Si 0.750 0.327 0.654
Pm 0.750 0.930 0.861
Si 0.750 0.524 0.048
Ca 0.250 0.797 0.594
Pm 0.250 0.070 0.139
```

Model 2:
Here is crystalline CaPmSi3 at its relaxed geometry from Alexandria. Energies are from PBE. Values from VASP.

Its total magnetic moment is 0.000 μB per atom. As for the volume: 21.8 A^3/atom.

```
&SYSTEM
  ibrav = 0, nat = 10, ntyp = 3
/
ATOMIC_SPECIES
Ca 40.08 Ca.upf
Pm 145.00 Pm.upf
Si 28.09 Si.upf
CELL_PARAMETERS angstrom
-1.330 2.983 2.228
-3.385 -2.519 1.351
8.540 -2.820 8.875
ATOMIC_POSITIONS crystal
Ca 0.250 0.071 0.142
Pm 0.250 0.798 0.595
Ca 0.750 0.929 0.858
Si 0.750 0.524 0.048
Si 0.250 0.676 0.351
Si 0.750 0.324 0.649
Si 0.750 0.619 0.238
Si 0.250 0.476 0.952
Si 0.250 0.381 0.762
Pm 0.750 0.202 0.405
```

Going by the computed energies, the most stable comes first: model 1, model 2.